Record 1
ZrFe2Br | PBE | optimized geometry

- symmetry = I-42d
- crystal system = tetragonal
- relative energy among the computed polymorphs (eV per atom) = 0.713

Lattice parameters (Å, degrees): 5.5726 5.5726 5.5726 103.43 103.43 122.37
Fractional coordinates of all 8 atoms:
1 Zr 0.0000 0.0000 0.0000
2 Zr 0.7500 0.2500 0.5000
3 Fe 0.1743 0.1250 0.5493
4 Fe 0.3750 0.8257 0.9507
5 Fe 0.5757 0.6250 0.4507
6 Fe 0.8750 0.4243 0.0493
7 Br 0.2500 0.7500 0.5000
8 Br 0.5000 0.5000 0.0000

Record 2
TlZn12Ga6 | PBE | optimized geometry

- symmetry = R-3m
- crystal system = trigonal
- calculated formation energy (eV per atom) = 0.096

Lattice parameters (Å, degrees): 7.3913 7.3913 7.3913 105.76 105.76 105.76
Fractional coordinates of all 19 atoms:
1 Tl 0.0000 0.0000 0.0000
2 Zn 0.1108 0.5000 0.8892
3 Zn 0.1108 0.8892 0.5000
4 Zn 0.1234 0.3644 0.3644
5 Zn 0.3644 0.1234 0.3644
6 Zn 0.3644 0.3644 0.1234
7 Zn 0.5000 0.1108 0.8892
8 Zn 0.5000 0.8892 0.1108
9 Zn 0.6356 0.6356 0.8766
10 Zn 0.6356 0.8766 0.6356
11 Zn 0.8766 0.6356 0.6356
12 Zn 0.8892 0.1108 0.5000
13 Zn 0.8892 0.5000 0.1108
14 Ga 0.2939 0.7043 0.7043
15 Ga 0.2957 0.2957 0.7061
16 Ga 0.2957 0.7061 0.2957
17 Ga 0.7043 0.2939 0.7043
18 Ga 0.7043 0.7043 0.2939
19 Ga 0.7061 0.2957 0.2957

Record 3
MnSiS4 | PBE | optimized geometry

- symmetry = C2/m
- crystal system = monoclinic
- VASP energy (eV for the cell shown) = -34.4

Lattice parameters (Å, degrees): 7.2446 7.2446 5.8119 112.21 112.21 26.34
Fractional coordinates of all 6 atoms:
1 Mn 0.0000 0.0000 0.0000
2 Si 0.5000 0.5000 0.5000
3 S 0.1009 0.1009 0.4302
4 S 0.3993 0.3993 0.0791
5 S 0.6007 0.6007 0.9209
6 S 0.8991 0.8991 0.5698